Material: CrFeCoO4
Method: DFT, GGA+U
State: relaxed

Computed properties:
DFT total energy = -48.70 eV per formula unit
spin magnetization = 11.0 μB per formula unit

Lattice parameters (Å, degrees): 5.957 6.025 8.544 90.00 90.00 90.00
Space group Imma (No. 74)
One atom of each set of equivalent atoms:
Cr (0.000, 0.000, 0.000) [4 per cell]
Fe (0.000, 0.250, 0.369) [4 per cell]
Co (0.250, 0.250, 0.750) [4 per cell]
O (0.000, 0.008, 0.762) [8 per cell]
O (0.232, 0.250, 0.001) [8 per cell]